[1]
The following is a PBE calculation of crystalline NdLu2Sn at its relaxed geometry, from the Alexandria database.

Values from the calculation:
- calculated formation energy (kJ per mole of atoms) = -27.6
- uncorrected energy (eV per atom) = -4.740
- distance to the lowest polymorph of the same formula (kJ per mole of atoms) = 10.0
- density (Mg/m³) = 8.72
- size of the total moment (Bohr magnetons per cell) = 0.0
- volume (Å³/f.u.) = 116.8

Unit cell a=3.7154 b=3.7154 c=8.4587 alpha=90.00 beta=90.00 gamma=90.00
Fractional positions:
Nd1 0.5000 0.5000 0.5000
Lu1 0.0000 0.0000 0.7847
Lu2 0.0000 0.0000 0.2153
Sn1 0.5000 0.5000 0.0000

=====

[2]
The following is a PBE calculation of crystalline KBaRe2 at its relaxed geometry, from the Alexandria database.

Values from the calculation:
- calculated formation energy (kJ per mole of atoms) = 104.6
- uncorrected energy (eV per atom) = -5.895
- distance to the lowest polymorph of the same formula (kJ per mole of atoms) = 41.4
- density (Mg/m³) = 5.42
- size of the total moment (Bohr magnetons per cell) = 0.0
- volume (Å³/f.u.) = 168.1

Unit cell a=7.6828 b=7.6828 c=8.9263 alpha=44.64 beta=44.64 gamma=27.99
Fractional positions:
Re1 0.9763 0.9763 0.2046
Re2 0.5237 0.5237 0.2954
K1 0.2500 0.2500 0.2500
Ba1 0.7500 0.7500 0.7500

=====

[3]
The following is a PBE calculation of crystalline Hf6In2Mo at its relaxed geometry, from the Alexandria database.

Values from the calculation:
- calculated formation energy (kJ per mole of atoms) = 33.4
- uncorrected energy (eV per atom) = -8.101
- density (Mg/m³) = 10.41
- size of the total moment (Bohr magnetons per cell) = 0.0
- volume (Å³/f.u.) = 222.7

Unit cell a=4.6871 b=6.7562 c=8.1451 alpha=114.50 beta=106.71 gamma=90.00
Fractional positions:
Hf1 0.8438 0.6065 0.6871
Hf2 0.1562 0.3935 0.3129
Hf3 0.1562 0.9193 0.3129
Hf4 0.5000 0.2304 0.0000
Hf5 0.8438 0.0807 0.6871
Hf6 0.5000 0.7696 0.0000
Mo1 0.0000 0.0000 0.0000
In1 0.6683 0.6686 0.3372
In2 0.3317 0.3314 0.6628

=====

[4]
The following is a PBE calculation of crystalline Mo3C4 at its relaxed geometry, from the Alexandria database.

Values from the calculation:
- calculated formation energy (kJ per mole of atoms) = 59.5
- uncorrected energy (eV per atom) = -9.296
- distance to the lowest polymorph of the same formula (kJ per mole of atoms) = 1.5
- density (Mg/m³) = 7.04
- size of the total moment (Bohr magnetons per cell) = 0.0
- volume (Å³/f.u.) = 79.2

Unit cell a=4.2953 b=4.2953 c=4.2953 alpha=90.00 beta=90.00 gamma=90.00
Fractional positions:
C1 0.0000 0.5000 0.5000
C2 0.5000 0.5000 0.0000
C3 0.0000 0.0000 0.0000
C4 0.5000 0.0000 0.5000
Mo1 0.0000 0.5000 0.0000
Mo2 0.5000 0.0000 0.0000
Mo3 0.0000 0.0000 0.5000

=====

[5]
The following is a PBE calculation of crystalline LaIn2W at its relaxed geometry, from the Alexandria database.

Values from the calculation:
- calculated formation energy (kJ per mole of atoms) = 49.8
- uncorrected energy (eV per atom) = -5.324
- distance to the lowest polymorph of the same formula (kJ per mole of atoms) = 24.7
- density (Mg/m³) = 9.73
- size of the total moment (Bohr magnetons per cell) = 0.7
- volume (Å³/f.u.) = 94.3

Unit cell a=10.9752 b=10.9752 c=10.9752 alpha=16.62 beta=16.62 gamma=16.62
Site moments in Bohr magnetons follow the coordinates.
Fractional positions:
W1 0.7439 0.7439 0.7439  0.05
La1 0.4947 0.4947 0.4947  0.35
In1 0.0058 0.0058 0.0058  0.01
In2 0.2556 0.2556 0.2556  0.00

=====

[6]
The following is a PBE calculation of crystalline CeMgNi at its relaxed geometry, from the Alexandria database.

Values from the calculation:
- calculated formation energy (kJ per mole of atoms) = -7.8
- uncorrected energy (eV per atom) = -4.518
- density (Mg/m³) = 5.36
- size of the total moment (Bohr magnetons per cell) = 0.9
- volume (Å³/f.u.) = 69.1

Unit cell a=4.6057 b=4.6057 c=4.6057 alpha=60.00 beta=60.00 gamma=60.00
Site moments in Bohr magnetons follow the coordinates.
Fractional positions:
Ni1 0.2500 0.2500 0.2500  -0.07
Mg1 0.0000 0.0000 0.0000  0.01
Ce1 0.5000 0.5000 0.5000  0.67

=====

[7]
The following is a PBE calculation of crystalline Hg2RuRh at its relaxed geometry, from the Alexandria database.

Values from the calculation:
- calculated formation energy (kJ per mole of atoms) = 51.3
- uncorrected energy (eV per atom) = -3.776
- distance to the lowest polymorph of the same formula (kJ per mole of atoms) = 26.2
- density (Mg/m³) = 14.22
- size of the total moment (Bohr magnetons per cell) = 1.1
- volume (Å³/f.u.) = 70.7

Unit cell a=2.9862 b=4.9749 c=4.7563 alpha=90.00 beta=90.00 gamma=90.00
Site moments in Bohr magnetons follow the coordinates.
Fractional positions:
Hg1 0.5000 0.5000 0.0000  -0.01
Hg2 0.0000 0.0000 0.0000  -0.01
Ru1 0.0000 0.5000 0.5000  0.94
Rh1 0.5000 0.0000 0.5000  0.20

=====

[8]
The following is a PBE calculation of crystalline Sm6SiN2Cl3 at its relaxed geometry, from the Alexandria database.

Values from the calculation:
- uncorrected energy (eV per atom) = -6.043
- density (Mg/m³) = 6.63
- E_form (uncorrected) (eV/atom) = -1.3822
- size of the total moment (Bohr magnetons per cell) = 0.0
- volume (Å³/f.u.) = 266.6

Unit cell a=3.8150 b=8.2541 c=9.1797 alpha=109.02 beta=101.99 gamma=90.00
Fractional positions:
Cl1 0.5000 0.5000 0.0000
Cl2 0.8354 0.1738 0.6709
Cl3 0.1646 0.8262 0.3291
Sm1 0.3345 0.8640 0.6690
Sm2 0.3163 0.4487 0.6326
Sm3 0.9728 0.7458 0.9457
Sm4 0.6837 0.5513 0.3674
Sm5 0.6655 0.1360 0.3310
Sm6 0.0272 0.2542 0.0543
Si1 0.5000 0.0000 0.0000
N1 0.8269 0.6580 0.6538
N2 0.1731 0.3420 0.3462

=====

[9]
The following is a PBE calculation of crystalline LaSi3Ni9 at its relaxed geometry, from the Alexandria database.

Values from the calculation:
- uncorrected energy (eV per atom) = -6.079
- density (Mg/m³) = 7.65
- E_form (uncorrected) (eV/atom) = -0.4464
- size of the total moment (Bohr magnetons per cell) = 0.0
- volume (Å³/f.u.) = 163.0

Unit cell a=4.8308 b=6.0969 c=6.3818 alpha=82.41 beta=67.76 gamma=69.57
Fractional positions:
Si1 0.5000 0.5000 0.0000
Si2 0.5000 0.0000 0.5000
Si3 0.0000 0.0000 0.5000
Ni1 0.0275 0.3431 0.6426
Ni2 0.5139 0.2304 0.7667
Ni3 0.9725 0.6569 0.3574
Ni4 0.4861 0.7696 0.2333
Ni5 0.6702 0.3431 0.3574
Ni6 0.7194 0.7696 0.7667
Ni7 0.3298 0.6569 0.6426
Ni8 0.0000 0.5000 0.0000
Ni9 0.2806 0.2304 0.2333
La1 0.0000 0.0000 0.0000

=====

[10]
The following is a PBE calculation of crystalline CoAgAs2 at its relaxed geometry, from the Alexandria database.

Values from the calculation:
- calculated formation energy (kJ per mole of atoms) = 14.9
- uncorrected energy (eV per atom) = -4.659
- distance to the lowest polymorph of the same formula (kJ per mole of atoms) = 12.5
- density (Mg/m³) = 7.80
- size of the total moment (Bohr magnetons per cell) = 0.2
- volume (Å³/f.u.) = 67.4

Unit cell a=2.8817 b=2.8817 c=8.1203 alpha=90.00 beta=90.00 gamma=90.01
Site moments in Bohr magnetons follow the coordinates.
Fractional positions:
As1 0.0000 0.0000 0.9804  0.00
As2 0.5000 0.5000 0.3246  -0.01
Ag1 0.5000 0.5000 0.7191  0.00
Co1 0.0000 0.0000 0.4758  0.25

=====

[11]
The following is a PBE calculation of crystalline Th4MgP3Rh12 at its relaxed geometry, from the Alexandria database.

Values from the calculation:
- calculated formation energy (kJ per mole of atoms) = -57.5
- uncorrected energy (eV per atom) = -7.382
- density (Mg/m³) = 10.20
- size of the total moment (Bohr magnetons per cell) = 0.0
- volume (Å³/f.u.) = 371.1

Unit cell a=7.8407 b=7.8407 c=7.8407 alpha=109.47 beta=109.47 gamma=109.47
Fractional positions:
Rh1 0.7391 0.0000 0.7391
Rh2 0.7391 0.7391 0.0000
Rh3 0.7500 0.2500 0.5000
Rh4 0.5000 0.7500 0.2500
Rh5 0.2609 0.2609 0.0000
Rh6 0.0000 0.2609 0.2609
Rh7 0.5000 0.2500 0.7500
Rh8 0.0000 0.7391 0.7391
Rh9 0.2609 0.0000 0.2609
Rh10 0.2500 0.7500 0.5000
Rh11 0.7500 0.5000 0.2500
Rh12 0.2500 0.5000 0.7500
Th1 0.0000 0.0000 0.5000
Th2 0.5000 0.0000 0.0000
Th3 0.0000 0.5000 0.0000
Th4 0.5000 0.5000 0.5000
P1 0.5000 0.0000 0.5000
P2 0.5000 0.5000 0.0000
P3 0.0000 0.5000 0.5000
Mg1 0.0000 0.0000 0.0000